A crystal of KAg4Ir relaxed with PBEsol. Source: the Alexandria database, functional SCAN.

Unit cell a=5.4074 b=5.4074 c=5.4074 alpha=60.00 beta=60.00 gamma=60.00
Positions (direct):
1 Ag 0.8731 0.3756 0.3756
2 Ag 0.3756 0.3756 0.3756
3 Ag 0.3756 0.3756 0.8731
4 Ag 0.3756 0.8731 0.3756
5 Ir 0.7500 0.7500 0.7500
6 K 0.0000 0.0000 0.0000

Formation enthalpy at 0 K ... 0.54 eV/atom
Total moment ... 0.000 Bohr magnetons per cell
Symmetry ... F-43m, No. 216
DOS(E_F) ... 0.1692 states/eV per atom

=====

A crystal of LiSiRu2 relaxed with PBEsol. Source: the Alexandria database, functional SCAN.

Unit cell a=2.6984 b=2.6984 c=7.6281 alpha=90.00 beta=90.00 gamma=90.00
Positions (direct):
1 Li 0.5000 0.5000 0.7460
2 Ru 0.0000 0.0000 0.0265
3 Ru 0.5000 0.5000 0.2541
4 Si 0.0000 0.0000 0.4735

Total moment ... 0.000 Bohr magnetons per cell
Symmetry ... P4mm, No. 99
Raw formation energy ... -9 kJ/mol of formula units
DOS(E_F) ... 0.5573 states/eV per atom

=====

A crystal of CsNi2PtBr relaxed with PBEsol. Source: the Alexandria database, functional SCAN.

Unit cell a=4.3422 b=4.3422 c=6.3847 alpha=90.00 beta=90.00 gamma=90.00
Each line ends with the local moment (μB).
Positions (direct):
1 Cs 0.0000 0.0000 0.5000  -0.01
2 Ni 0.0000 0.5000 0.0000  0.64
3 Ni 0.5000 0.0000 0.0000  0.64
4 Br 0.0000 0.0000 0.0000  -0.02
5 Pt 0.5000 0.5000 0.5000  0.03

Total moment ... 1.190 Bohr magnetons per cell
Symmetry ... P4/mmm, No. 123
Raw formation energy ... 518 kJ/mol of formula units
DOS(E_F) ... 0.9963 states/eV per atom

=====

A crystal of CdMoSe2 relaxed with PBEsol. Source: the Alexandria database, functional SCAN.

Unit cell a=2.9761 b=4.9993 c=6.4359 alpha=112.85 beta=103.37 gamma=90.00
Positions (direct):
1 Cd 0.5000 0.0000 0.0000
2 Mo 0.0000 0.5000 0.0000
3 Se 0.6750 0.6750 0.3500
4 Se 0.3250 0.3250 0.6500

Total moment ... 0.001 Bohr magnetons per cell
Excess energy over the best structure of this formula in the dataset ... 0.0 kJ per mole of atoms
Symmetry ... Immm, No. 71
Raw formation energy ... 10 kJ/mol of formula units
DOS(E_F) ... 0.8751 states/eV per atom

=====

A crystal of ZnRu3Pb relaxed with PBEsol. Source: the Alexandria database, functional SCAN.

Unit cell a=4.4748 b=4.4748 c=4.4748 alpha=90.00 beta=90.00 gamma=90.00
Each line ends with the local moment (μB).
Positions (direct):
1 Pb 0.5000 0.5000 0.5000  -0.13
2 Ru 0.0000 0.5000 0.0000  1.48
3 Ru 0.0000 0.0000 0.5000  1.48
4 Ru 0.5000 0.0000 0.0000  1.48
5 Zn 0.0000 0.0000 0.0000  -0.03

Formation enthalpy at 0 K ... 1.35 eV/atom
Total moment ... 4.156 Bohr magnetons per cell
Symmetry ... Pm-3m, No. 221
DOS(E_F) ... 0.5736 states/eV per atom

=====

A crystal of KMgIn relaxed with PBEsol. Source: the Alexandria database, functional SCAN.

Unit cell a=5.4972 b=5.4972 c=5.4972 alpha=60.00 beta=60.00 gamma=60.00
Positions (direct):
1 In 0.5000 0.5000 0.5000
2 K 0.2500 0.2500 0.2500
3 Mg 0.0000 0.0000 0.0000

Formation enthalpy at 0 K ... 0.52 eV/atom
Total moment ... 0.000 Bohr magnetons per cell
Symmetry ... F-43m, No. 216
DOS(E_F) ... 0.9020 states/eV per atom

=====

A crystal of RuRhW2 relaxed with PBEsol. Source: the Alexandria database, functional SCAN.

Unit cell a=2.7496 b=2.7496 c=7.6645 alpha=90.00 beta=90.00 gamma=90.00
Positions (direct):
1 Ru 0.5000 0.5000 0.5000
2 Rh 0.5000 0.5000 0.0000
3 W 0.0000 0.0000 0.7470
4 W 0.0000 0.0000 0.2530

Formation enthalpy at 0 K ... -0.07 eV/atom
Total moment ... 0.000 Bohr magnetons per cell
Excess energy over the best structure of this formula in the dataset ... 0.8 kJ per mole of atoms
Symmetry ... P4/mmm, No. 123
DOS(E_F) ... 0.6006 states/eV per atom

=====

A crystal of Cd2HgPt relaxed with PBEsol. Source: the Alexandria database, functional SCAN.

Unit cell a=2.9593 b=3.5790 c=7.2140 alpha=90.00 beta=90.00 gamma=90.00
Positions (direct):
1 Hg 0.5000 0.5000 0.0000
2 Pt 0.5000 0.5000 0.5000
3 Cd 0.0000 0.0000 0.7190
4 Cd 0.0000 0.0000 0.2810

Formation enthalpy at 0 K ... -0.16 eV/atom
Total moment ... 0.000 Bohr magnetons per cell
Symmetry ... Pmmm, No. 47
DOS(E_F) ... 0.2750 states/eV per atom

=====

A crystal of SbH5Cl6O2 relaxed with PBEsol. Source: the Alexandria database, functional SCAN.

Unit cell a=6.8998 b=6.8998 c=12.7276 alpha=97.36 beta=99.93 gamma=116.46
Positions (direct):
1 Sb 0.0000 0.0000 0.5000
2 Sb 0.0000 0.5000 0.0000
3 H 0.5665 0.3165 0.2500
4 H 0.4335 0.6835 0.7500
5 H 0.6644 0.1633 0.3415
6 H 0.3217 0.3229 0.1585
7 H 0.3356 0.8367 0.6585
8 H 0.6783 0.6771 0.8415
9 H 0.7027 0.4074 0.4028
10 H 0.5047 0.2999 0.0972
11 H 0.2973 0.5926 0.5972
12 H 0.4953 0.7001 0.9028
13 Cl 0.2005 0.3482 0.4498
14 Cl 0.3983 0.7507 0.0502
15 Cl 0.7995 0.6518 0.5502
16 Cl 0.6017 0.2493 0.9498
17 Cl 0.2972 0.1261 0.6645
18 Cl 0.9616 0.6327 0.8355
19 Cl 0.7028 0.8739 0.3355
20 Cl 0.0384 0.3673 0.1645
21 Cl 0.1836 0.8465 0.4050
22 Cl 0.9415 0.7786 0.0950
23 Cl 0.8164 0.1535 0.5950
24 Cl 0.0585 0.2214 0.9050
25 O 0.6749 0.3080 0.3319
26 O 0.4761 0.3430 0.1681
27 O 0.3251 0.6920 0.6681
28 O 0.5239 0.6570 0.8319

Total moment ... 0.000 Bohr magnetons per cell
Symmetry ... C2/c, No. 15
Electronic total energy ... -9.09 eV/atom
DOS(E_F) ... 0.0000 states/eV per atom

=====

A crystal of CoP2O6 relaxed with PBEsol. Source: the Alexandria database, functional SCAN.

Unit cell a=7.1585 b=7.1585 c=9.6746 alpha=98.74 beta=109.70 gamma=109.83
Each line ends with the local moment (μB).
Positions (direct):
1 Co 0.3081 0.5581 0.7500  2.71
2 Co 0.6919 0.4419 0.2500  2.71
3 Co 0.5000 0.5000 0.5000  2.71
4 Co 0.5000 0.0000 0.0000  2.71
5 P 0.7727 0.2305 0.5228  0.01
6 P 0.2076 0.2499 0.9772  0.01
7 P 0.2273 0.7695 0.4772  0.01
8 P 0.7924 0.7501 0.0228  0.01
9 P 0.4917 0.1887 0.6982  0.01
10 P 0.9905 0.7936 0.8018  0.01
11 P 0.5083 0.8113 0.3018  0.01
12 P 0.0095 0.2064 0.1982  0.01
13 O 0.0118 0.3523 0.5958  0.03
14 O 0.2565 0.4159 0.9042  0.03
15 O 0.9882 0.6477 0.4042  0.03
16 O 0.7435 0.5841 0.0958  0.03
17 O 0.6255 0.3076 0.4155  0.06
18 O 0.3920 0.2099 0.0845  0.06
19 O 0.3745 0.6924 0.5845  0.06
20 O 0.6080 0.7901 0.9155  0.06
21 O 0.6856 0.1842 0.6525  0.01
22 O 0.0316 0.0331 0.8475  0.01
23 O 0.3144 0.8158 0.3475  0.01
24 O 0.9684 0.9669 0.1525  0.01
25 O 0.5406 0.1567 0.8518  0.04
26 O 0.8049 0.6888 0.6482  0.04
27 O 0.4594 0.8433 0.1482  0.04
28 O 0.1951 0.3112 0.3518  0.04
29 O 0.4611 0.3839 0.6784  0.06
30 O 0.2055 0.7826 0.8216  0.06
31 O 0.5389 0.6161 0.3216  0.06
32 O 0.7945 0.2174 0.1784  0.06
33 O 0.2748 0.9992 0.5673  0.01
34 O 0.9319 0.7074 0.9327  0.01
35 O 0.7252 0.0008 0.4327  0.01
36 O 0.0681 0.2926 0.0673  0.01

Total moment ... 12.000 Bohr magnetons per cell
Symmetry ... C2/c, No. 15
Raw formation energy ... -1887 kJ/mol of formula units
DOS(E_F) ... 0.0000 states/eV per atom

=====

A crystal of Ga3BPt relaxed with PBEsol. Source: the Alexandria database, functional SCAN.

Unit cell a=4.2155 b=4.2155 c=4.2155 alpha=90.00 beta=90.00 gamma=90.00
Positions (direct):
1 B 0.0000 0.0000 0.0000
2 Ga 0.0000 0.5000 0.0000
3 Ga 0.0000 0.0000 0.5000
4 Ga 0.5000 0.0000 0.0000
5 Pt 0.5000 0.5000 0.5000

Formation enthalpy at 0 K ... 0.43 eV/atom
Total moment ... 0.000 Bohr magnetons per cell
Symmetry ... Pm-3m, No. 221
DOS(E_F) ... 0.4526 states/eV per atom

=====

A crystal of OsRuRh relaxed with PBEsol. Source: the Alexandria database, functional SCAN.

Unit cell a=2.6822 b=2.6822 c=5.9950 alpha=102.93 beta=102.93 gamma=90.00
Positions (direct):
1 Rh 0.3340 0.3340 0.6681
2 Os 0.0026 0.0026 0.0052
3 Ru 0.6634 0.6634 0.3267

Formation enthalpy at 0 K ... 0.07 eV/atom
Total moment ... 0.000 Bohr magnetons per cell
Excess energy over the best structure of this formula in the dataset ... 0.0 kJ per mole of atoms
Symmetry ... I4mm, No. 107
DOS(E_F) ... 0.9429 states/eV per atom